## Ta2AlAs (PBE)

Data for a relaxed Ta2AlAs crystal.

Calculated formation energy (kJ/mol of formula units): -27
SG: Pm
Excess energy over the best structure of this formula in the dataset (meV/atom): 145

Cell: 4.8405 2.8901 5.2498 Å, 73.99 90.00 90.00°
With the nearest neighbours (Å) after each atom.
Sites, in units of the cell vectors:
As: 0.5000 0.9228 0.7820  5 Ta 2.61-2.75, 2 As 2.89
Al: 0.0000 0.5642 0.4960  3 Ta 2.63-2.82, 2 Al 2.89
Ta: 0.0000 0.8230 0.9755  2 As 2.61, 3 Al 2.63-2.82, 2 Ta 2.89
Ta: 0.5000 0.1900 0.2466  3 As 2.70-2.75, 2 Ta 2.89


## La5Y (PBE)

Data for a relaxed La5Y crystal.

Calculated formation energy (kJ/mol of formula units): 175
SG: P6/mmm
Excess energy over the best structure of this formula in the dataset (meV/atom): 288

Cell: 6.6284 6.6284 5.9739 Å, 90.00 90.00 120.00°
With the nearest neighbours (Å) after each atom.
Sites, in units of the cell vectors:
La: 0.0000 0.5000 0.5000  8 La 3.31-3.55
La: 0.3333 0.6667 0.0000  9 La 3.55-3.83, 3 Y 3.83
La: 0.5000 0.0000 0.5000  8 La 3.31-3.55
La: 0.5000 0.5000 0.5000  8 La 3.31-3.55
La: 0.6667 0.3333 0.0000  9 La 3.55-3.83, 3 Y 3.83
Y: 0.0000 0.0000 0.0000  6 La 3.83


## Y12Zr3Cd5 (PBE)

Data for a relaxed Y12Zr3Cd5 crystal.

Calculated formation energy (kJ/mol of formula units): 1058
SG: Ia-3d

Cell: 15.5270 15.5270 15.5270 Å, 109.47 109.47 109.47°
With the nearest neighbours (Å) after each atom.
Sites, in units of the cell vectors:
Zr: 0.7500 0.3750 0.1250  8 Y 3.14-3.39
Zr: 0.8750 0.7500 0.1250  8 Y 3.14-3.39
Zr: 0.3750 0.7500 0.6250  8 Y 3.14-3.39
Zr: 0.2500 0.1250 0.3750  8 Y 3.14-3.39
Zr: 0.8750 0.1250 0.2500  8 Y 3.14-3.39
Zr: 0.3750 0.6250 0.2500  8 Y 3.14-3.39
Zr: 0.6250 0.3750 0.7500  8 Y 3.14-3.39
Zr: 0.1250 0.8750 0.7500  8 Y 3.14-3.39
Zr: 0.7500 0.8750 0.6250  8 Y 3.14-3.39
Zr: 0.6250 0.2500 0.3750  8 Y 3.14-3.39
Zr: 0.1250 0.2500 0.8750  8 Y 3.14-3.39
Zr: 0.2500 0.6250 0.8750  8 Y 3.14-3.39
Cd: 0.1250 0.3750 0.2500  4 Y 3.01
Cd: 0.0000 0.5000 0.0000  6 Y 3.02
Cd: 0.0000 0.0000 0.0000  6 Y 3.02
Cd: 0.3750 0.2500 0.1250  4 Y 3.01
Cd: 0.5000 0.0000 0.5000  6 Y 3.02
Cd: 0.5000 0.5000 0.0000  6 Y 3.02
Cd: 0.1250 0.7500 0.3750  4 Y 3.01
Cd: 0.7500 0.1250 0.8750  4 Y 3.01
Cd: 0.7500 0.6250 0.3750  4 Y 3.01
Cd: 0.3750 0.1250 0.7500  4 Y 3.01
Cd: 0.6250 0.8750 0.2500  4 Y 3.01
Cd: 0.5000 0.5000 0.5000  6 Y 3.02
Cd: 0.5000 0.0000 0.0000  6 Y 3.02
Cd: 0.0000 0.0000 0.5000  6 Y 3.02
Cd: 0.2500 0.3750 0.6250  4 Y 3.01
Cd: 0.2500 0.8750 0.1250  4 Y 3.01
Cd: 0.0000 0.5000 0.5000  6 Y 3.02
Cd: 0.8750 0.2500 0.6250  4 Y 3.01
Cd: 0.6250 0.7500 0.8750  4 Y 3.01
Cd: 0.8750 0.6250 0.7500  4 Y 3.01
Y: 0.7264 0.1341 0.0622  2 Cd 3.01-3.02, 1 Zr 3.14
Y: 0.3358 0.5622 0.4281  2 Cd 3.01-3.02, 1 Zr 3.14
Y: 0.9378 0.3659 0.2736  2 Cd 3.01-3.02, 1 Zr 3.14
Y: 0.5622 0.2264 0.1341  2 Cd 3.01-3.02, 1 Zr 3.14
Y: 0.5923 0.7264 0.6642  2 Cd 3.01-3.02, 1 Zr 3.14
Y: 0.9378 0.5719 0.1642  2 Cd 3.01-3.02, 1 Zr 3.14
Y: 0.3358 0.7736 0.4077  2 Cd 3.01-3.02, 1 Zr 3.14
Y: 0.0719 0.9077 0.1341  2 Cd 3.01-3.02, 1 Zr 3.14
Y: 0.5719 0.9378 0.6642  2 Cd 3.01-3.02, 1 Zr 3.14
Y: 0.7264 0.5923 0.1642  2 Cd 3.01-3.02, 1 Zr 3.14
Y: 0.7736 0.4378 0.3659  2 Cd 3.01-3.02, 1 Zr 3.14
Y: 0.8358 0.9281 0.0622  2 Cd 3.01-3.02, 1 Zr 3.14
Y: 0.1341 0.7264 0.5622  2 Cd 3.01-3.02, 1 Zr 3.14
Y: 0.3659 0.4281 0.0923  2 Cd 3.01-3.02, 1 Zr 3.14
Y: 0.0923 0.9281 0.3659  2 Cd 3.01-3.02, 1 Zr 3.14
Y: 0.4077 0.1341 0.5719  2 Cd 3.01-3.02, 1 Zr 3.14
Y: 0.0923 0.1642 0.2264  2 Cd 3.01-3.02, 1 Zr 3.14
Y: 0.4378 0.6642 0.0719  2 Cd 3.01-3.02, 1 Zr 3.14
Y: 0.8358 0.9077 0.2736  2 Cd 3.01-3.02, 1 Zr 3.14
Y: 0.1341 0.4077 0.0719  2 Cd 3.01-3.02, 1 Zr 3.14
Y: 0.3659 0.9378 0.7736  2 Cd 3.01-3.02, 1 Zr 3.14
Y: 0.5719 0.6341 0.4077  2 Cd 3.01-3.02, 1 Zr 3.14
Y: 0.9281 0.8358 0.5622  2 Cd 3.01-3.02, 1 Zr 3.14
Y: 0.7736 0.3358 0.9077  2 Cd 3.01-3.02, 1 Zr 3.14
Y: 0.4281 0.3659 0.5923  2 Cd 3.01-3.02, 1 Zr 3.14
Y: 0.0719 0.1642 0.4378  2 Cd 3.01-3.02, 1 Zr 3.14
Y: 0.2264 0.6642 0.0923  2 Cd 3.01-3.02, 1 Zr 3.14
Y: 0.1642 0.0923 0.7264  2 Cd 3.01-3.02, 1 Zr 3.14
Y: 0.6341 0.0622 0.2264  2 Cd 3.01-3.02, 1 Zr 3.14
Y: 0.8659 0.5923 0.9281  2 Cd 3.01-3.02, 1 Zr 3.14
Y: 0.5622 0.3358 0.9281  2 Cd 3.01-3.02, 1 Zr 3.14
Y: 0.5923 0.8659 0.4281  2 Cd 3.01-3.02, 1 Zr 3.14
Y: 0.9077 0.8358 0.7736  2 Cd 3.01-3.02, 1 Zr 3.14
Y: 0.9077 0.0719 0.6341  2 Cd 3.01-3.02, 1 Zr 3.14
Y: 0.8659 0.2736 0.4378  2 Cd 3.01-3.02, 1 Zr 3.14
Y: 0.1642 0.0719 0.9378  2 Cd 3.01-3.02, 1 Zr 3.14
Y: 0.6341 0.5719 0.9077  2 Cd 3.01-3.02, 1 Zr 3.14
Y: 0.4281 0.0622 0.3358  2 Cd 3.01-3.02, 1 Zr 3.14
Y: 0.2736 0.4077 0.8358  2 Cd 3.01-3.02, 1 Zr 3.14
Y: 0.2264 0.5622 0.6341  2 Cd 3.01-3.02, 1 Zr 3.14
Y: 0.9281 0.0923 0.8659  2 Cd 3.01-3.02, 1 Zr 3.14
Y: 0.6642 0.2264 0.5923  2 Cd 3.01-3.02, 1 Zr 3.14
Y: 0.4378 0.7736 0.8659  2 Cd 3.01-3.02, 1 Zr 3.14
Y: 0.0622 0.4281 0.8358  2 Cd 3.01-3.02, 1 Zr 3.14
Y: 0.4077 0.2736 0.3358  2 Cd 3.01-3.02, 1 Zr 3.14
Y: 0.0622 0.6341 0.7264  2 Cd 3.01-3.02, 1 Zr 3.14
Y: 0.6642 0.4378 0.5719  2 Cd 3.01-3.02, 1 Zr 3.14
Y: 0.2736 0.8659 0.9378  2 Cd 3.01-3.02, 1 Zr 3.14


## CrBi3C (PBE)

Data for a relaxed CrBi3C crystal.

Calculated formation energy (kJ/mol of formula units): 752
SG: Pm-3m
Excess energy over the best structure of this formula in the dataset (meV/atom): 0

Cell: 4.9320 4.9320 4.9320 Å, 90.00 90.00 90.00°
With the nearest neighbours (Å) after each atom.
Sites, in units of the cell vectors:
Cr: 0.5000 0.5000 0.5000  12 Bi 3.49
C: 0.0000 0.0000 0.0000  6 Bi 2.47
Bi: 0.0000 0.5000 0.0000  2 C 2.47
Bi: 0.0000 0.0000 0.5000  2 C 2.47
Bi: 0.5000 0.0000 0.0000  2 C 2.47


## Pr8P3I4Br (PBE)

Data for a relaxed Pr8P3I4Br crystal.

SG: R-3m
Formation energy from raw total energies (eV per atom): -1.26

Cell: 8.4896 9.2549 8.4895 Å, 117.30 120.00 90.00°
With the nearest neighbours (Å) after each atom.
Sites, in units of the cell vectors:
Pr: 0.2422 0.6949 0.9527  2 P 2.83, 1 Br 3.02
Pr: 0.2422 0.6949 0.4843  2 P 2.83, 1 Br 3.02
Pr: 0.2694 0.3082 0.5388  3 P 2.88
Pr: 0.7105 0.6949 0.9527  2 P 2.83, 1 Br 3.02
Pr: 0.2895 0.3051 0.0473  2 P 2.83, 1 Br 3.02
Pr: 0.7306 0.6918 0.4612  3 P 2.88
Pr: 0.7578 0.3051 0.5157  2 P 2.83, 1 Br 3.02
Pr: 0.7578 0.3051 0.0473  2 P 2.83, 1 Br 3.02
P: 0.5000 0.5000 0.0000  6 Pr 2.83-2.88
P: 0.5000 0.5000 0.5000  6 Pr 2.83-2.88
P: 0.0000 0.5000 0.5000  6 Pr 2.83-2.88
I: 0.5000 0.0000 0.0000  6 Pr 3.32
I: 0.5000 0.0000 0.5000  6 Pr 3.44-3.49
I: 0.0000 0.0000 0.0000  6 Pr 3.44-3.49
I: 0.0000 0.0000 0.5000  6 Pr 3.44-3.49
Br: 0.0000 0.5000 0.0000  6 Pr 3.02


## MgIr3N (PBE)

Data for a relaxed MgIr3N crystal.

SG: Pm-3m
Excess energy over the best structure of this formula in the dataset (meV/atom): 0
Formation energy from raw total energies (eV per atom): 0.26

Cell: 4.1064 4.1064 4.1064 Å, 90.00 90.00 90.00°
With the nearest neighbours (Å) after each atom.
Sites, in units of the cell vectors:
Mg: 0.5000 0.5000 0.5000  12 Ir 2.90
Ir: 0.0000 0.5000 0.0000  2 N 2.05
Ir: 0.0000 0.0000 0.5000  2 N 2.05
Ir: 0.5000 0.0000 0.0000  2 N 2.05
N: 0.0000 0.0000 0.0000  6 Ir 2.05


What did the fourth record say?
## CrBi3C (PBE)

Data for a relaxed CrBi3C crystal.

Calculated formation energy (kJ/mol of formula units): 752
SG: Pm-3m
Excess energy over the best structure of this formula in the dataset (meV/atom): 0

Cell: 4.9320 4.9320 4.9320 Å, 90.00 90.00 90.00°
With the nearest neighbours (Å) after each atom.
Sites, in units of the cell vectors:
Cr: 0.5000 0.5000 0.5000  12 Bi 3.49
C: 0.0000 0.0000 0.0000  6 Bi 2.47
Bi: 0.0000 0.5000 0.0000  2 C 2.47
Bi: 0.0000 0.0000 0.5000  2 C 2.47
Bi: 0.5000 0.0000 0.0000  2 C 2.47


Question: What is the formula in the fourth record?
Answer: CrBi3C